# ZrMo2Ru GGA-PBE optimized geometry
data_ZrMo2Ru
_chemical_formula_sum 'Zr1 Mo2 Ru1'
_cell_length_a 3.220
_cell_length_b 3.220
_cell_length_c 6.497
_cell_angle_alpha 90.00
_cell_angle_beta 90.00
_cell_angle_gamma 90.00
_symmetry_space_group_name_H-M 'P 1'
_symmetry_Int_Tables_number 1
loop_
_symmetry_equiv_pos_as_xyz
'x,y,z'
loop_
_atom_site_label
_atom_site_type_symbol
_atom_site_fract_x
_atom_site_fract_y
_atom_site_fract_z
Zr1 Zr 0.000 0.000 0.000
Mo1 Mo 0.500 0.500 0.267
Mo2 Mo 0.500 0.500 0.733
Ru1 Ru 0.000 0.000 0.500
# Energy relative to the lowest polymorph listed for this composition: 267.1 meV per atom
# Electronic total energy: -9.74 eV per atom
# DFT formation energy: 0.13 eV per atom
# DOS at the Fermi energy: 1.259 states/eV per atom


# ScSbP2Cl GGA-PBE optimized geometry
data_ScSbP2Cl
_chemical_formula_sum 'Sc1 Sb1 P2 Cl1'
_cell_length_a 5.096
_cell_length_b 5.096
_cell_length_c 4.709
_cell_angle_alpha 90.00
_cell_angle_beta 90.00
_cell_angle_gamma 90.00
_symmetry_space_group_name_H-M 'P 1'
_symmetry_Int_Tables_number 1
loop_
_symmetry_equiv_pos_as_xyz
'x,y,z'
loop_
_atom_site_label
_atom_site_type_symbol
_atom_site_fract_x
_atom_site_fract_y
_atom_site_fract_z
Sc1 Sc 0.000 0.000 0.000
Sb1 Sb 0.500 0.500 0.500
P1 P 0.000 0.500 0.000
P2 P 0.500 0.000 0.000
Cl1 Cl 0.000 0.000 0.500
# Uncorrected formation energy: -0.07 eV/atom
# Energy relative to the lowest polymorph listed for this composition: 0.0 meV per atom
# Electronic total energy: -4.69 eV per atom
# DOS at the Fermi energy: 0.739 states/eV per atom


# Ca3Ho3MgSe8 GGA-PBE optimized geometry
data_Ca3Ho3MgSe8
_chemical_formula_sum 'Ca3 Ho3 Mg1 Se8'
_cell_length_a 8.282
_cell_length_b 8.282
_cell_length_c 8.282
_cell_angle_alpha 58.99
_cell_angle_beta 58.99
_cell_angle_gamma 58.99
_symmetry_space_group_name_H-M 'P 1'
_symmetry_Int_Tables_number 1
loop_
_symmetry_equiv_pos_as_xyz
'x,y,z'
loop_
_atom_site_label
_atom_site_type_symbol
_atom_site_fract_x
_atom_site_fract_y
_atom_site_fract_z
Ca1 Ca 0.000 0.500 0.500
Ca2 Ca 0.500 0.000 0.500
Ca3 Ca 0.500 0.500 0.000
Ho1 Ho 0.000 0.000 0.500
Ho2 Ho 0.000 0.500 0.000
Ho3 Ho 0.500 0.000 0.000
Mg1 Mg 0.500 0.500 0.500
Se1 Se 0.248 0.248 0.248
Se2 Se 0.251 0.741 0.741
Se3 Se 0.259 0.259 0.749
Se4 Se 0.259 0.749 0.259
Se5 Se 0.741 0.251 0.741
Se6 Se 0.741 0.741 0.251
Se7 Se 0.749 0.259 0.259
Se8 Se 0.752 0.752 0.752
# Uncorrected formation energy: -1.82 eV/atom
# Electronic total energy: -5.10 eV per atom
# DOS at the Fermi energy: 0.265 states/eV per atom


# KZrIn GGA-PBE optimized geometry
data_KZrIn
_chemical_formula_sum 'K2 Zr2 In2'
_cell_length_a 4.882
_cell_length_b 4.901
_cell_length_c 11.957
_cell_angle_alpha 101.68
_cell_angle_beta 90.05
_cell_angle_gamma 119.76
_symmetry_space_group_name_H-M 'P 1'
_symmetry_Int_Tables_number 1
loop_
_symmetry_equiv_pos_as_xyz
'x,y,z'
loop_
_atom_site_label
_atom_site_type_symbol
_atom_site_fract_x
_atom_site_fract_y
_atom_site_fract_z
K1 K 0.000 0.000 0.000
K2 K 0.215 0.428 0.651
Zr1 Zr 0.116 0.233 0.326
Zr2 Zr 0.435 0.870 0.326
In1 In 0.734 0.468 0.200
In2 In 0.817 0.634 0.452
# Energy relative to the lowest polymorph listed for this composition: 142.5 meV per atom
# Electronic total energy: -4.04 eV per atom
# DFT formation energy: 0.09 eV per atom
# DOS at the Fermi energy: 0.579 states/eV per atom


# Sr2DyNpS6 GGA-PBE optimized geometry
data_Sr2DyNpS6
_chemical_formula_sum 'Sr4 Dy2 Np2 S12'
_cell_length_a 6.943
_cell_length_b 7.414
_cell_length_c 12.255
_cell_angle_alpha 90.00
_cell_angle_beta 124.45
_cell_angle_gamma 90.00
_symmetry_space_group_name_H-M 'P 1'
_symmetry_Int_Tables_number 1
loop_
_symmetry_equiv_pos_as_xyz
'x,y,z'
loop_
_atom_site_label
_atom_site_type_symbol
_atom_site_fract_x
_atom_site_fract_y
_atom_site_fract_z
Sr1 Sr 0.223 0.079 0.249
Sr2 Sr 0.223 0.421 0.749
Sr3 Sr 0.777 0.579 0.251
Sr4 Sr 0.777 0.921 0.751
Dy1 Dy 0.000 0.000 0.500
Dy2 Dy 0.000 0.500 0.000
Np1 Np 0.500 0.000 0.000
Np2 Np 0.500 0.500 0.500
S1 S 0.140 0.191 0.943
S2 S 0.140 0.309 0.443
S3 S 0.255 0.702 0.940
S4 S 0.255 0.798 0.440
S5 S 0.368 0.035 0.756
S6 S 0.368 0.465 0.256
S7 S 0.632 0.535 0.744
S8 S 0.632 0.965 0.244
S9 S 0.745 0.202 0.560
S10 S 0.745 0.298 0.060
S11 S 0.860 0.691 0.557
S12 S 0.860 0.809 0.057
# Uncorrected formation energy: -1.76 eV/atom
# Electronic total energy: -6.32 eV per atom
# DOS at the Fermi energy: 0.758 states/eV per atom


# KCdIr2 GGA-PBE optimized geometry
data_KCdIr2
_chemical_formula_sum 'K1 Cd1 Ir2'
_cell_length_a 2.836
_cell_length_b 2.836
_cell_length_c 10.216
_cell_angle_alpha 90.00
_cell_angle_beta 90.00
_cell_angle_gamma 116.21
_symmetry_space_group_name_H-M 'P 1'
_symmetry_Int_Tables_number 1
loop_
_symmetry_equiv_pos_as_xyz
'x,y,z'
loop_
_atom_site_label
_atom_site_type_symbol
_atom_site_fract_x
_atom_site_fract_y
_atom_site_fract_z
K1 K 0.000 0.000 0.000
Cd1 Cd 0.000 0.000 0.500
Ir1 Ir 0.500 0.500 0.273
Ir2 Ir 0.500 0.500 0.727
# Electronic total energy: -4.34 eV per atom
# DFT formation energy: 0.60 eV per atom
# DOS at the Fermi energy: 0.980 states/eV per atom


> The lowest DOS at the Fermi energy belongs to which entry?

Ca3Ho3MgSe8